[1]
{
  "formula": "TbZrAu4",
  "functional": "PBE",
  "state": "relaxed",
  "lattice": [[-0.8745, 1.4892, 3.2269], [3.1225, -1.2651, 1.4301], [4.1548, 7.5754, -2.3701]],
  "species": ["Au", "Au", "Au", "Au", "Tb", "Zr"],
  "fractional_positions": [[0.5000, 0.5000, 0.1731], [0.0000, 0.0000, 0.3392], [0.0000, 0.0000, 0.6607], [0.5000, 0.5000, 0.8269], [0.0000, 0.0000, 0.0000], [0.5000, 0.5000, 0.5000]],
  "volume_a3_per_fu": 120.0,
  "sg": "P4/mmm (123)",
  "formation_energy_ev_per_atom": -0.713
}

***

[2]
{
  "formula": "TbZrAu",
  "functional": "PBE",
  "state": "relaxed",
  "lattice": [[0.0000, 3.3362, 3.3362], [3.3362, 0.0000, 3.3362], [3.3362, 3.3362, 0.0000]],
  "species": ["Au", "Tb", "Zr"],
  "fractional_positions": [[0.2500, 0.2500, 0.2500], [0.7500, 0.7500, 0.7500], [0.0000, 0.0000, 0.0000]],
  "volume_a3_per_fu": 74.3,
  "sg": "F-43m (216)",
  "formation_energy_ev_per_atom": 0.297
}

***

[3]
{
  "formula": "TmTcAu",
  "functional": "PBE",
  "state": "relaxed",
  "lattice": [[-1.8524, -3.8461, 1.6282], [-0.8017, -0.4324, 4.4772], [-4.2928, 0.0159, 1.5641]],
  "species": ["Au", "Tc", "Tm"],
  "fractional_positions": [[0.2500, 0.2500, 0.2500], [0.7500, 0.7500, 0.7500], [0.0000, 0.0000, 0.0000]],
  "volume_a3_per_fu": 67.4,
  "sg": "F-43m (216)",
  "formation_energy_ev_per_atom": 0.659
}

***

[4]
{
  "formula": "UTc2Au",
  "functional": "PBE",
  "state": "relaxed",
  "lattice": [[-0.8637, 2.1668, 3.5971], [-3.3235, -2.5975, 0.7666], [2.2293, -2.2877, 1.9133]],
  "species": ["Au", "Tc", "Tc", "U"],
  "fractional_positions": [[0.5000, 0.5000, 0.5000], [0.5000, 0.0000, 0.0000], [0.0000, 0.5000, 0.0000], [0.0000, 0.0000, 0.5000]],
  "volume_a3_per_fu": 68.4,
  "sg": "P4/mmm (123)",
  "formation_energy_ev_per_atom": -0.140
}